MgAg2Mo: PBEsol geometry, meta-GGA SCAN.

Results
Total DFT energy (no corrections), eV/atom: -25.19
Formation energy, eV per atom: 0.461

Cell lengths 2.770, 4.911, 4.930 Å; angles 90.00, 90.00, 90.00 degrees
Element x y z (fractional)
Mg  0.000  0.000  0.000
Ag  0.000  0.500  0.500
Ag  0.500  0.500  0.000
Mo  0.500  0.000  0.500

MgAg2Mo: PBEsol geometry, meta-GGA SCAN.

Results
Total DFT energy (no corrections), eV/atom: -25.28
Formation energy, eV per atom: 0.365

Cell lengths 2.700, 4.585, 5.383 Å; angles 90.00, 97.18, 90.00 degrees
Element x y z (fractional)
Mg  0.000  0.000  0.000
Ag  0.350  0.000  0.503
Ag  0.362  0.500  0.800
Mo  0.757  0.500  0.309

MgAg2Mo: PBEsol geometry, meta-GGA SCAN.

Results
Total DFT energy (no corrections), eV/atom: -25.25
Formation energy, eV per atom: 0.401

Cell lengths 5.718, 5.718, 5.718 Å; angles 152.29, 128.81, 59.20 degrees
Element x y z (fractional)
Mg  0.000  0.000  0.000
Ag  0.510  0.510  0.000
Ag  0.755  0.255  0.500
Mo  0.260  0.760  0.500

NaMg3Ag: PBEsol geometry, meta-GGA SCAN.

Results
Total DFT energy (no corrections), eV/atom: -10.07
Formation energy, eV per atom: 0.029

Cell lengths 5.165, 5.165, 5.165 Å; angles 90.00, 90.00, 90.00 degrees
Element x y z (fractional)
Na  0.000  0.000  0.000
Mg  0.000  0.500  0.500
Mg  0.500  0.000  0.500
Mg  0.500  0.500  0.000
Ag  0.500  0.500  0.500

Question: What is the formula in the second record?
Answer: MgAg2Mo

Question: Which of these has the highest total DFT energy (no corrections)?
Answer: NaMg3Ag